# Dy2PtI GGA-PBE relaxed
# Energy relative to the lowest polymorph listed for this composition = 0.072 eV per formula unit
# Uncorrected formation energy = -1.12 eV/atom
data_Dy2PtI
_chemical_formula_sum 'Dy6 Pt3 I3'
_cell_length_a 4.1608
_cell_length_b 4.1608
_cell_length_c 23.8380
_cell_angle_alpha 90.00
_cell_angle_beta 90.00
_cell_angle_gamma 120.00
_symmetry_space_group_name_H-M 'R 3 m'
_symmetry_Int_Tables_number 160
_symmetry_space_group_name_Hall 'R 3 -2"'
loop_
_atom_site_label
_atom_site_type_symbol
_atom_site_fract_x
_atom_site_fract_y
_atom_site_fract_z
_atom_site_occupancy
Dy1 Dy 0.0000 0.0000 0.0000 1
Dy2 Dy 0.0000 0.0000 0.2131 1
Pt1 Pt 0.0000 0.0000 0.6069 1
I1 I 0.0000 0.0000 0.7761 1


# CdTc2W GGA-PBE relaxed
# ΔE_f = 0.44 eV per atom
data_CdTc2W
_chemical_formula_sum 'Cd2 Tc4 W2'
_cell_length_a 3.101
_cell_length_b 4.702
_cell_length_c 9.016
_cell_angle_alpha 90.00
_cell_angle_beta 90.00
_cell_angle_gamma 90.00
_symmetry_space_group_name_H-M 'I m m m'
_symmetry_Int_Tables_number 71
_symmetry_space_group_name_Hall '-I 2 2'
loop_
_atom_site_label
_atom_site_type_symbol
_atom_site_fract_x
_atom_site_fract_y
_atom_site_fract_z
_atom_site_occupancy
Cd1 Cd 0.000 0.000 0.000 1
Tc1 Tc 0.000 0.500 0.229 1
W1 W 0.000 0.000 0.500 1


# LiAl3Rh4 GGA-PBE relaxed
# ΔE_f = -0.94 eV per atom
data_LiAl3Rh4
_chemical_formula_sum 'Li2 Al6 Rh8'
_cell_length_a 4.218
_cell_length_b 4.218
_cell_length_c 11.902
_cell_angle_alpha 90.00
_cell_angle_beta 90.00
_cell_angle_gamma 90.00
_symmetry_space_group_name_H-M 'I 4/m m m'
_symmetry_Int_Tables_number 139
_symmetry_space_group_name_Hall '-I 4 2'
loop_
_atom_site_label
_atom_site_type_symbol
_atom_site_fract_x
_atom_site_fract_y
_atom_site_fract_z
_atom_site_occupancy
Li1 Li 0.000 0.000 0.000 1
Al1 Al 0.000 0.000 0.246 1
Al2 Al 0.000 0.000 0.500 1
Rh1 Rh 0.000 0.500 0.125 1


# LiMg2Cr GGA-PBE relaxed
# ΔE_f = 0.45 eV per atom
data_LiMg2Cr
_chemical_formula_sum 'Li1 Mg2 Cr1'
_cell_length_a 2.747
_cell_length_b 2.747
_cell_length_c 9.140
_cell_angle_alpha 90.00
_cell_angle_beta 90.00
_cell_angle_gamma 90.00
_symmetry_space_group_name_H-M 'P 4 m m'
_symmetry_Int_Tables_number 99
_symmetry_space_group_name_Hall 'P 4 -2'
loop_
_atom_site_label
_atom_site_type_symbol
_atom_site_fract_x
_atom_site_fract_y
_atom_site_fract_z
_atom_site_occupancy
Li1 Li 0.000 0.000 0.000 1
Mg1 Mg 0.000 0.000 0.548 1
Mg2 Mg 0.500 0.500 0.261 1
Cr1 Cr 0.500 0.500 0.773 1


# Al3ReTe GGA-PBE relaxed
# Energy relative to the lowest polymorph listed for this composition = 0.000 eV per formula unit
# Uncorrected formation energy = 0.48 eV/atom
data_Al3ReTe
_chemical_formula_sum 'Al3 Re1 Te1'
_cell_length_a 4.868
_cell_length_b 4.868
_cell_length_c 4.868
_cell_angle_alpha 90.00
_cell_angle_beta 90.00
_cell_angle_gamma 90.00
_symmetry_space_group_name_H-M 'P m -3 m'
_symmetry_Int_Tables_number 221
_symmetry_space_group_name_Hall '-P 4 2 3'
loop_
_atom_site_label
_atom_site_type_symbol
_atom_site_fract_x
_atom_site_fract_y
_atom_site_fract_z
_atom_site_occupancy
Al1 Al 0.000 0.000 0.500 1
Re1 Re 0.000 0.000 0.000 1
Te1 Te 0.500 0.500 0.500 1


# AcCdGe2 GGA-PBE relaxed
# Energy relative to the lowest polymorph listed for this composition = 0.426 eV per formula unit
# ΔE_f = -0.31 eV per atom
data_AcCdGe2
_chemical_formula_sum 'Ac1 Cd1 Ge2'
_cell_length_a 4.801
_cell_length_b 4.801
_cell_length_c 4.408
_cell_angle_alpha 90.00
_cell_angle_beta 90.00
_cell_angle_gamma 90.00
_symmetry_space_group_name_H-M 'P 4/m m m'
_symmetry_Int_Tables_number 123
_symmetry_space_group_name_Hall '-P 4 2'
loop_
_atom_site_label
_atom_site_type_symbol
_atom_site_fract_x
_atom_site_fract_y
_atom_site_fract_z
_atom_site_occupancy
Ac1 Ac 0.000 0.000 0.000 1
Cd1 Cd 0.500 0.500 0.000 1
Ge1 Ge 0.000 0.500 0.500 1


# HfTi4Te GGA-PBE relaxed
# Uncorrected formation energy = -0.17 eV/atom
data_HfTi4Te
_chemical_formula_sum 'Hf4 Ti16 Te4'
_cell_length_a 7.071
_cell_length_b 17.992
_cell_length_c 5.001
_cell_angle_alpha 90.00
_cell_angle_beta 134.99
_cell_angle_gamma 90.00
_symmetry_space_group_name_H-M 'C 1 2/m 1'
_symmetry_Int_Tables_number 12
_symmetry_space_group_name_Hall '-C 2y'
loop_
_atom_site_label
_atom_site_type_symbol
_atom_site_fract_x
_atom_site_fract_y
_atom_site_fract_z
_atom_site_occupancy
Hf1 Hf 0.248 0.000 0.497 1
Ti1 Ti 0.249 0.166 0.499 1
Ti2 Ti 0.249 0.415 0.999 1
Te1 Te 0.250 0.250 0.000 1


# Tb6As2PtSe3 GGA-PBE relaxed
# Uncorrected formation energy = -1.63 eV/atom
data_Tb6As2PtSe3
_chemical_formula_sum 'Tb12 As4 Pt2 Se6'
_cell_length_a 18.061
_cell_length_b 4.089
_cell_length_c 8.305
_cell_angle_alpha 90.00
_cell_angle_beta 103.56
_cell_angle_gamma 90.00
_symmetry_space_group_name_H-M 'C 1 2/m 1'
_symmetry_Int_Tables_number 12
_symmetry_space_group_name_Hall '-C 2y'
loop_
_atom_site_label
_atom_site_type_symbol
_atom_site_fract_x
_atom_site_fract_y
_atom_site_fract_z
_atom_site_occupancy
Tb1 Tb 0.001 0.000 0.238 1
Tb2 Tb 0.164 0.500 0.089 1
Tb3 Tb 0.169 0.500 0.577 1
As1 As 0.167 0.000 0.334 1
Pt1 Pt 0.000 0.500 0.000 1
Se1 Se 0.000 0.500 0.500 1
Se2 Se 0.169 0.000 0.832 1


# CeMgNi2Ge2 GGA-PBE relaxed
# ΔE_f = -0.58 eV per atom
data_CeMgNi2Ge2
_chemical_formula_sum 'Ce1 Mg1 Ni2 Ge2'
_cell_length_a 4.1687
_cell_length_b 4.1687
_cell_length_c 6.7973
_cell_angle_alpha 90.00
_cell_angle_beta 90.00
_cell_angle_gamma 120.00
_symmetry_space_group_name_H-M 'P -3 m 1'
_symmetry_Int_Tables_number 164
_symmetry_space_group_name_Hall '-P 3 2"'
loop_
_atom_site_label
_atom_site_type_symbol
_atom_site_fract_x
_atom_site_fract_y
_atom_site_fract_z
_atom_site_occupancy
Ce1 Ce 0.0000 0.0000 0.0000 1
Mg1 Mg 0.0000 0.0000 0.5000 1
Ni1 Ni 0.3333 0.6667 0.6753 1
Ge1 Ge 0.3333 0.6667 0.2777 1


# TbHgPd GGA-PBE relaxed
# ΔE_f = -0.67 eV per atom
data_TbHgPd
_chemical_formula_sum 'Tb2 Hg2 Pd2'
_cell_length_a 5.0316
_cell_length_b 5.0316
_cell_length_c 6.0009
_cell_angle_alpha 90.00
_cell_angle_beta 90.00
_cell_angle_gamma 120.00
_symmetry_space_group_name_H-M 'P 63/m m c'
_symmetry_Int_Tables_number 194
_symmetry_space_group_name_Hall '-P 6c 2c'
loop_
_atom_site_label
_atom_site_type_symbol
_atom_site_fract_x
_atom_site_fract_y
_atom_site_fract_z
_atom_site_occupancy
Tb1 Tb 0.3333 0.6667 0.2500 1
Hg1 Hg 0.0000 0.0000 0.0000 1
Pd1 Pd 0.3333 0.6667 0.7500 1


DOS at the Fermi energy per entry: 0.636, 0.960, 0.322, 0.544, 0.610, 0.665, 1.755, 0.510, 0.935, 0.485 states/eV per atom
Calculated density per entry: 9.02, 12.44, 7.83, 2.59, 5.68, 7.92, 7.34, 8.55, 6.93, 11.76 g/cm3